A plane-wave DFT calculation with PBEsol was carried out for a geometry-optimized LaMn2Rh structure.

Its total energy is -8.222 eV per atom. As for the crystal system: trigonal. The calculation puts the energy relative to the elements at 0.03 eV per atom.

a = 5.768 Å, b = 5.768 Å, c = 5.768 Å
α = 41.10°, β = 41.10°, γ = 41.10°
Element x y z (fractional)
La: 0.000 0.000 0.000
Mn: 0.485 0.485 0.485
Mn: 0.809 0.809 0.809
Rh: 0.218 0.218 0.218



A plane-wave DFT calculation with PBEsol was carried out for a geometry-optimized LaMn2Rh structure.

Its total energy is -7.956 eV per atom. As for the crystal system: cubic. The calculation puts the energy relative to the elements at 0.30 eV per atom.

a = 4.618 Å, b = 4.618 Å, c = 4.618 Å
α = 60.00°, β = 60.00°, γ = 60.00°
Element x y z (fractional)
La: 0.000 0.000 0.000
Mn: 0.250 0.250 0.250
Mn: 0.500 0.500 0.500
Rh: 0.750 0.750 0.750



A plane-wave DFT calculation with PBEsol was carried out for a geometry-optimized LaMn2Rh structure.

Its total energy is -7.997 eV per atom. As for the crystal system: orthorhombic. The calculation puts the energy relative to the elements at 0.26 eV per atom.

a = 5.511 Å, b = 5.511 Å, c = 5.511 Å
α = 143.35°, β = 132.48°, γ = 61.47°
Element x y z (fractional)
La: 0.000 0.000 0.000
Mn: 0.272 0.772 0.500
Mn: 0.728 0.228 0.500
Rh: 0.500 0.500 0.000



Which value of energy relative to the elements does entry 2 give?
0.30 eV per atom